Material: AcPmSb2Rh5
Method: DFT, GGA-PBE
State: optimized geometry

abc: 4.5360 4.5360 9.1375
angles: 90.00 90.00 90.00
Last column: nearest neighbours and their distance in Å.
Positions (direct):
Ac1 0.0000 0.0000 0.5000  12 Rh 3.06-3.21
Pm1 0.0000 0.0000 0.0000  8 Rh 3.39, 8 Sb 3.52
Sb1 0.5000 0.5000 0.1574  4 Rh 2.51
Sb2 0.5000 0.5000 0.8426  4 Rh 2.51
Rh1 0.0000 0.5000 0.2759  2 Sb 2.51
Rh2 0.5000 0.0000 0.2759  2 Sb 2.51
Rh3 0.0000 0.5000 0.7241  2 Sb 2.51
Rh4 0.5000 0.0000 0.7241  2 Sb 2.51
Rh5 0.5000 0.5000 0.5000  8 Rh 3.06, 2 Sb 3.13, 4 Ac 3.21

Computed properties:
Formation energy (no corrections) ... -0.524 eV/atom
Uncorrected energy ... -6.51 eV/atom
DOS at the Fermi energy ... 0.6190 states/eV/atom
V ... 20.89 Å³ per atom
Symmetry ... P4/mmm